(1)
DFT (PBE) results for a relaxed Ac2PmGe3 crystal.

Values from the calculation:
- DFT formation energy: -54.3 kJ per mole of atoms

a = 4.554 Å, b = 6.315 Å, c = 13.302 Å
α = 90.00°, β = 90.00°, γ = 90.00°
Fractional positions:
Ac 0.000 0.000 0.171
Ac 0.000 0.000 0.829
Ac 0.500 0.500 0.329
Ac 0.500 0.500 0.671
Pm 0.000 0.000 0.500
Pm 0.500 0.500 0.000
Ge 0.000 0.500 0.149
Ge 0.000 0.500 0.500
Ge 0.000 0.500 0.851
Ge 0.500 0.000 0.000
Ge 0.500 0.000 0.351
Ge 0.500 0.000 0.649

(2)
DFT (PBE) results for a relaxed Nb3AuCl crystal.

Values from the calculation:
- Raw formation energy: 1.632 eV per atom
- Energy above the lowest structure with this stoichiometry: 1047 meV/atom

a = 5.048 Å, b = 5.048 Å, c = 5.048 Å
α = 90.00°, β = 90.00°, γ = 90.00°
Fractional positions:
Nb 0.000 0.000 0.500
Nb 0.000 0.500 0.000
Nb 0.500 0.000 0.000
Au 0.000 0.000 0.000
Cl 0.500 0.500 0.500

(3)
DFT (PBE) results for a relaxed NaGeAu2 crystal.

Values from the calculation:
- DFT formation energy: -10.7 kJ per mole of atoms

a = 4.460 Å, b = 4.460 Å, c = 3.786 Å
α = 90.00°, β = 90.00°, γ = 90.00°
Fractional positions:
Na 0.000 0.000 0.000
Ge 0.500 0.500 0.000
Au 0.000 0.500 0.500
Au 0.500 0.000 0.500

(4)
DFT (PBE) results for a relaxed Pm2AuC crystal.

Values from the calculation:
- Energy above the lowest structure with this stoichiometry: 0 meV/atom
- DFT formation energy: -36.8 kJ per mole of atoms

a = 3.777 Å, b = 3.777 Å, c = 22.052 Å
α = 90.00°, β = 90.00°, γ = 120.00°
Fractional positions:
Pm 0.000 0.000 0.230
Pm 0.000 0.000 0.770
Pm 0.333 0.667 0.436
Pm 0.333 0.667 0.897
Pm 0.667 0.333 0.103
Pm 0.667 0.333 0.564
Au 0.000 0.000 0.000
Au 0.333 0.667 0.667
Au 0.667 0.333 0.333
C 0.000 0.000 0.500
C 0.333 0.667 0.167
C 0.667 0.333 0.833

(5)
DFT (PBE) results for a relaxed HfTa4Nb crystal.

Values from the calculation:
- Energy above the lowest structure with this stoichiometry: 178 meV/atom
- DFT formation energy: 22.7 kJ per mole of atoms

a = 6.504 Å, b = 4.808 Å, c = 7.432 Å
α = 90.00°, β = 90.00°, γ = 90.00°
Fractional positions:
Hf 0.250 0.000 0.177
Hf 0.750 0.000 0.823
Ta 0.000 0.000 0.500
Ta 0.014 0.500 0.811
Ta 0.250 0.500 0.495
Ta 0.486 0.500 0.811
Ta 0.500 0.000 0.500
Ta 0.514 0.500 0.189
Ta 0.750 0.500 0.505
Ta 0.986 0.500 0.189
Nb 0.250 0.000 0.803
Nb 0.750 0.000 0.197

(6)
DFT (PBE) results for a relaxed RbScBe2 crystal.

Values from the calculation:
- Energy above the lowest structure with this stoichiometry: 0 meV/atom
- DFT formation energy: 109.4 kJ per mole of atoms

a = 7.125 Å, b = 7.125 Å, c = 7.125 Å
α = 90.00°, β = 90.00°, γ = 90.00°
Fractional positions:
Rb 0.000 0.000 0.000
Rb 0.000 0.500 0.500
Rb 0.500 0.000 0.500
Rb 0.500 0.500 0.000
Sc 0.000 0.000 0.500
Sc 0.000 0.500 0.000
Sc 0.500 0.000 0.000
Sc 0.500 0.500 0.500
Be 0.250 0.250 0.250
Be 0.250 0.250 0.750
Be 0.250 0.750 0.250
Be 0.250 0.750 0.750
Be 0.750 0.250 0.250
Be 0.750 0.250 0.750
Be 0.750 0.750 0.250
Be 0.750 0.750 0.750

(7)
DFT (PBE) results for a relaxed YSbAuI2 crystal.

Values from the calculation:
- Raw formation energy: -0.022 eV per atom
- Energy above the lowest structure with this stoichiometry: 0 meV/atom

a = 5.818 Å, b = 5.818 Å, c = 6.331 Å
α = 90.00°, β = 90.00°, γ = 90.00°
Fractional positions:
Y 0.000 0.000 0.000
Sb 0.000 0.000 0.500
Au 0.500 0.500 0.500
I 0.000 0.500 0.000
I 0.500 0.000 0.000

(8)
DFT (PBE) results for a relaxed RbEuGe4 crystal.

Values from the calculation:
- DFT formation energy: -12.6 kJ per mole of atoms

a = 5.939 Å, b = 5.939 Å, c = 5.939 Å
α = 60.00°, β = 60.00°, γ = 60.00°
Fractional positions:
Rb 0.000 0.000 0.000
Eu 0.250 0.250 0.250
Ge 0.152 0.616 0.616
Ge 0.616 0.152 0.616
Ge 0.616 0.616 0.152
Ge 0.616 0.616 0.616

Number 1: DOS(E_F) 1.16 states/eV per atom. Number 2: DOS(E_F) 1.40 states/eV per atom. Number 3: DOS(E_F) 0.36 states/eV per atom. Number 4: DOS(E_F) 0.84 states/eV per atom. Number 5: DOS(E_F) 1.13 states/eV per atom. Number 6: DOS(E_F) 0.58 states/eV per atom. Number 7: DOS(E_F) 0.41 states/eV per atom. Number 8: DOS(E_F) 1.88 states/eV per atom.